A plane-wave DFT calculation with PBEsol was carried out for an optimized crystal structure of FeSb2Ru.

Properties
ΔE to the lowest computed polymorph in kJ per mole of atoms: 5.4
Size of the total moment in μB per atom: 0.3837

Unit cell a=3.1777 b=3.1781 c=6.3882 alpha=90.00 beta=90.01 gamma=90.00
Site moments in Bohr magnetons follow the coordinates.
Sites, in units of the cell vectors:
Sb: 0.9999 0.0000 0.2410  -0.01
Sb: 0.0001 0.0000 0.7590  -0.01
Fe: 0.5000 0.5000 0.0000  1.43
Ru: 0.5000 0.5000 0.5000  0.19